#P
Computed, not measured: a geometry-optimized La2AgHgH structure at the PBE-GGA level of DFT.

a = 4.9979 Å, b = 4.9979 Å, c = 4.5922 Å
α = 90.00°, β = 90.00°, γ = 90.00°
Closest atoms and distances in Å follow each position.
Atoms (fractional coordinates):
1 H 0.0000 0.0000 0.0000  2 Hg 2.30, 4 La 2.50
2 Hg 0.0000 0.0000 0.5000  2 H 2.30
3 Ag 0.5000 0.5000 0.5000  8 La 3.39, 4 Hg 3.53
4 La 0.0000 0.5000 0.0000  2 H 2.50
5 La 0.5000 0.0000 0.0000  2 H 2.50

Calculated values
M_tot = 0.00 μB/atom

---

#Q
Computed, not measured: a geometry-optimized La2AgHgH structure at the PBE-GGA level of DFT.

a = 5.1016 Å, b = 5.1016 Å, c = 4.4018 Å
α = 90.00°, β = 90.00°, γ = 90.00°
Closest atoms and distances in Å follow each position.
Atoms (fractional coordinates):
1 H 0.0000 0.0000 0.0000  2 Ag 2.20
2 Hg 0.5000 0.5000 0.5000  8 La 3.37, 4 Ag 3.61
3 Ag 0.0000 0.0000 0.5000  2 H 2.20
4 La 0.0000 0.5000 0.0000  2 H 2.55
5 La 0.5000 0.0000 0.0000  2 H 2.55

Calculated values
M_tot = 0.00 μB/atom

---

Going by the energies, #Q is most stable and the next is 74 meV per atom up.

---

#P
Computed, not measured: a geometry-optimized Li2AgHgH structure at the PBE-GGA level of DFT.

a = 5.0236 Å, b = 5.2759 Å, c = 5.0236 Å
α = 90.00°, β = 90.00°, γ = 90.00°
Closest atoms and distances in Å follow each position.
Atoms (fractional coordinates):
1 H 0.5000 0.5000 0.5000  4 Hg 3.55, 8 Li 3.64
2 Hg 0.0000 0.5000 0.0000  2 Ag 2.64
3 Ag 0.0000 0.0000 0.0000  4 Li 2.51, 2 Hg 2.64
4 Li 0.0000 0.0000 0.5000  2 Ag 2.51
5 Li 0.5000 0.0000 0.0000  2 Ag 2.51

Calculated values
M_tot = 0.00 μB/atom

---

#Q
Computed, not measured: a geometry-optimized Li2AgHgH structure at the PBE-GGA level of DFT.

a = 4.1367 Å, b = 4.1367 Å, c = 4.2388 Å
α = 90.00°, β = 90.00°, γ = 90.00°
Closest atoms and distances in Å follow each position.
Atoms (fractional coordinates):
1 H 0.0000 0.0000 0.0000  4 Li 2.07, 2 Hg 2.12
2 Hg 0.0000 0.0000 0.5000  2 H 2.12
3 Ag 0.5000 0.5000 0.5000  4 Hg 2.93, 8 Li 2.96
4 Li 0.0000 0.5000 0.0000  2 H 2.07
5 Li 0.5000 0.0000 0.0000  2 H 2.07

Calculated values
M_tot = 0.00 μB/atom

---

Going by the energies, #Q is most stable and the next is 594 meV per atom up.

---

#P
Computed, not measured: a geometry-optimized Na2AgHgH structure at the PBE-GGA level of DFT.

a = 5.0559 Å, b = 5.0559 Å, c = 3.8237 Å
α = 90.00°, β = 90.00°, γ = 90.00°
Closest atoms and distances in Å follow each position.
Atoms (fractional coordinates):
1 Na 0.0000 0.5000 0.0000  2 H 2.53
2 Na 0.5000 0.0000 0.0000  2 H 2.53
3 Hg 0.5000 0.5000 0.5000  8 Na 3.17
4 Ag 0.0000 0.0000 0.5000  2 H 1.91
5 H 0.0000 0.0000 0.0000  2 Ag 1.91

Calculated values
M_tot = 0.00 μB/atom

---

#Q
Computed, not measured: a geometry-optimized Na2AgHgH structure at the PBE-GGA level of DFT.

a = 4.5738 Å, b = 4.5738 Å, c = 4.5624 Å
α = 90.00°, β = 90.00°, γ = 90.00°
Closest atoms and distances in Å follow each position.
Atoms (fractional coordinates):
1 Na 0.0000 0.5000 0.0000  2 H 2.29
2 Na 0.5000 0.0000 0.0000  2 H 2.29
3 Hg 0.0000 0.0000 0.5000  2 H 2.28
4 Ag 0.5000 0.5000 0.5000  8 Na 3.23, 4 Hg 3.23
5 H 0.0000 0.0000 0.0000  2 Hg 2.28, 4 Na 2.29

Calculated values
M_tot = 0.00 μB/atom

---

Going by the energies, #P is most stable and the next is 69 meV per atom up.

---

#P
Computed, not measured: a geometry-optimized AgHgHPb2 structure at the PBE-GGA level of DFT.

a = 5.5439 Å, b = 5.5439 Å, c = 3.6441 Å
α = 90.00°, β = 90.00°, γ = 90.00°
Closest atoms and distances in Å follow each position.
Atoms (fractional coordinates):
1 Pb 0.0000 0.5000 0.0000  2 H 2.77
2 Pb 0.5000 0.0000 0.0000  2 H 2.77
3 H 0.0000 0.0000 0.0000  2 Ag 1.82
4 Hg 0.5000 0.5000 0.5000  8 Pb 3.32, 2 Hg 3.64
5 Ag 0.0000 0.0000 0.5000  2 H 1.82

Calculated values
M_tot = 0.00 μB/atom

---

#Q
Computed, not measured: a geometry-optimized AgHgHPb2 structure at the PBE-GGA level of DFT.

a = 5.8328 Å, b = 5.8328 Å, c = 3.4542 Å
α = 90.00°, β = 90.00°, γ = 90.00°
Closest atoms and distances in Å follow each position.
Atoms (fractional coordinates):
1 Pb 0.0000 0.5000 0.0000  2 Ag 2.92
2 Pb 0.5000 0.0000 0.0000  2 Ag 2.92
3 H 0.0000 0.0000 0.5000  2 Ag 1.73
4 Hg 0.5000 0.5000 0.5000  8 Pb 3.39, 2 Hg 3.45
5 Ag 0.0000 0.0000 0.0000  2 H 1.73

Calculated values
M_tot = 0.00 μB/atom

---

Going by the energies, #P is most stable and the next is 38 meV per atom up.

---

#P
Computed, not measured: a geometry-optimized AgHgHPd2 structure at the PBE-GGA level of DFT.

a = 4.0593 Å, b = 4.0593 Å, c = 4.3768 Å
α = 90.00°, β = 90.00°, γ = 90.00°
Closest atoms and distances in Å follow each position.
Atoms (fractional coordinates):
1 H 0.0000 0.0000 0.0000  4 Pd 2.03, 2 Hg 2.19
2 Pd 0.0000 0.5000 0.0000  2 H 2.03
3 Pd 0.5000 0.0000 0.0000  2 H 2.03
4 Hg 0.0000 0.0000 0.5000  2 H 2.19
5 Ag 0.5000 0.5000 0.5000  4 Hg 2.87, 8 Pd 2.98

Calculated values
M_tot = 0.00 μB/atom

---

#Q
Computed, not measured: a geometry-optimized AgHgHPd2 structure at the PBE-GGA level of DFT.

a = 4.1315 Å, b = 4.1837 Å, c = 4.1315 Å
α = 90.00°, β = 90.00°, γ = 90.00°
Closest atoms and distances in Å follow each position.
Atoms (fractional coordinates):
1 H 0.0000 0.0000 0.0000  4 Pd 2.07, 2 Ag 2.09
2 Pd 0.0000 0.0000 0.5000  2 H 2.07
3 Pd 0.5000 0.0000 0.0000  2 H 2.07
4 Hg 0.5000 0.5000 0.5000  4 Ag 2.92, 8 Pd 2.94
5 Ag 0.0000 0.5000 0.0000  2 H 2.09

Calculated values
M_tot = 0.00 μB/atom

---

Going by the energies, #Q is most stable and the next is 125 meV per atom up.

---

#P
Computed, not measured: a geometry-optimized AgHgHPt2 structure at the PBE-GGA level of DFT.

a = 4.0211 Å, b = 4.0211 Å, c = 4.5070 Å
α = 90.00°, β = 90.00°, γ = 90.00°
Closest atoms and distances in Å follow each position.
Atoms (fractional coordinates):
1 Ag 0.5000 0.5000 0.5000  4 Hg 2.84, 8 Pt 3.02
2 Hg 0.0000 0.0000 0.5000  2 H 2.25
3 Pt 0.0000 0.5000 0.0000  2 H 2.01
4 Pt 0.5000 0.0000 0.0000  2 H 2.01
5 H 0.0000 0.0000 0.0000  4 Pt 2.01

Calculated values
M_tot = 0.00 μB/atom

---

#Q
Computed, not measured: a geometry-optimized AgHgHPt2 structure at the PBE-GGA level of DFT.

a = 4.0715 Å, b = 4.0715 Å, c = 4.3490 Å
α = 90.00°, β = 90.00°, γ = 90.00°
Closest atoms and distances in Å follow each position.
Atoms (fractional coordinates):
1 Ag 0.0000 0.0000 0.5000  2 H 2.17
2 Hg 0.5000 0.5000 0.5000  4 Ag 2.88, 8 Pt 2.98
3 Pt 0.0000 0.5000 0.0000  2 H 2.04
4 Pt 0.5000 0.0000 0.0000  2 H 2.04
5 H 0.0000 0.0000 0.0000  4 Pt 2.04, 2 Ag 2.17

Calculated values
M_tot = 0.00 μB/atom

---

Going by the energies, #Q is most stable and the next is 99 meV per atom up.

---

#P
Computed, not measured: a geometry-optimized Rb2AgHgH structure at the PBE-GGA level of DFT.

a = 6.3637 Å, b = 6.3637 Å, c = 3.8952 Å
α = 90.00°, β = 90.00°, γ = 90.00°
Closest atoms and distances in Å follow each position.
Atoms (fractional coordinates):
1 H 0.0000 0.0000 0.0000  2 Ag 1.95
2 Rb 0.0000 0.5000 0.0000  2 H 3.18
3 Rb 0.5000 0.0000 0.0000  2 H 3.18
4 Hg 0.5000 0.5000 0.5000  8 Rb 3.73, 2 Hg 3.90
5 Ag 0.0000 0.0000 0.5000  2 H 1.95

Calculated values
M_tot = 0.00 μB/atom

---

#Q
Computed, not measured: a geometry-optimized Rb2AgHgH structure at the PBE-GGA level of DFT.

a = 5.7377 Å, b = 5.7377 Å, c = 4.8163 Å
α = 90.00°, β = 90.00°, γ = 90.00°
Closest atoms and distances in Å follow each position.
Atoms (fractional coordinates):
1 H 0.0000 0.0000 0.0000  2 Hg 2.41
2 Rb 0.0000 0.5000 0.0000  2 H 2.87
3 Rb 0.5000 0.0000 0.0000  2 H 2.87
4 Hg 0.0000 0.0000 0.5000  2 H 2.41
5 Ag 0.5000 0.5000 0.5000  8 Rb 3.75, 4 Hg 4.06

Calculated values
M_tot = 0.00 μB/atom

---

Going by the energies, #P is most stable and the next is 46 meV per atom up.

---

#P
Computed, not measured: a geometry-optimized AgHgHRh2 structure at the PBE-GGA level of DFT.

a = 4.0368 Å, b = 4.0368 Å, c = 4.2234 Å
α = 90.00°, β = 90.00°, γ = 90.00°
Closest atoms and distances in Å follow each position.
Atoms (fractional coordinates):
1 H 0.0000 0.0000 0.0000  4 Rh 2.02, 2 Ag 2.11
2 Rh 0.0000 0.5000 0.0000  2 H 2.02
3 Rh 0.5000 0.0000 0.0000  2 H 2.02
4 Hg 0.5000 0.5000 0.5000  4 Ag 2.85, 8 Rh 2.92
5 Ag 0.0000 0.0000 0.5000  2 H 2.11

Calculated values
M_tot = 0.09 μB/atom

---

#Q
Computed, not measured: a geometry-optimized AgHgHRh2 structure at the PBE-GGA level of DFT.

a = 3.9800 Å, b = 3.9800 Å, c = 4.3840 Å
α = 90.00°, β = 90.00°, γ = 90.00°
Closest atoms and distances in Å follow each position.
Atoms (fractional coordinates):
1 H 0.0000 0.0000 0.0000  4 Rh 1.99, 2 Hg 2.19
2 Rh 0.0000 0.5000 0.0000  2 H 1.99
3 Rh 0.5000 0.0000 0.0000  2 H 1.99
4 Hg 0.0000 0.0000 0.5000  2 H 2.19
5 Ag 0.5000 0.5000 0.5000  4 Hg 2.81, 8 Rh 2.96

Calculated values
M_tot = 0.03 μB/atom

---

Going by the energies, #P is most stable and the next is 102 meV per atom up.

---

#P
Computed, not measured: a geometry-optimized TlAgHg2H structure at the PBE-GGA level of DFT.

a = 5.6482 Å, b = 5.6482 Å, c = 3.5032 Å
α = 90.00°, β = 90.00°, γ = 90.00°
Closest atoms and distances in Å follow each position.
Atoms (fractional coordinates):
1 H 0.0000 0.0000 0.0000  2 Ag 1.75
2 Tl 0.5000 0.5000 0.5000  8 Hg 3.32, 2 Tl 3.50
3 Hg 0.0000 0.5000 0.0000  2 H 2.82
4 Hg 0.5000 0.0000 0.0000  2 H 2.82
5 Ag 0.0000 0.0000 0.5000  2 H 1.75

Calculated values
M_tot = 0.00 μB/atom

---

#Q
Computed, not measured: a geometry-optimized TlAgHg2H structure at the PBE-GGA level of DFT.

a = 5.8313 Å, b = 5.8313 Å, c = 3.4943 Å
α = 90.00°, β = 90.00°, γ = 90.00°
Closest atoms and distances in Å follow each position.
Atoms (fractional coordinates):
1 H 0.0000 0.0000 0.5000  2 Ag 1.75
2 Tl 0.5000 0.5000 0.5000  8 Hg 3.40, 2 Tl 3.49
3 Hg 0.0000 0.5000 0.0000  2 Ag 2.92
4 Hg 0.5000 0.0000 0.0000  2 Ag 2.92
5 Ag 0.0000 0.0000 0.0000  2 H 1.75

Calculated values
M_tot = 0.00 μB/atom

---

Going by the energies, #Q is most stable and the next is 32 meV per atom up.

---

#P
Computed, not measured: a geometry-optimized AgH2I2 structure at the PBE-GGA level of DFT.

a = 3.8422 Å, b = 3.8422 Å, c = 7.0166 Å
α = 74.11°, β = 74.11°, γ = 90.00°
Closest atoms and distances in Å follow each position.
Atoms (fractional coordinates):
1 I 0.3543 0.3543 0.2914  4 H 2.35
2 I 0.6457 0.6457 0.7086  4 H 2.35
3 H 0.7500 0.2500 0.5000  4 I 2.35
4 H 0.2500 0.7500 0.5000  4 I 2.35
5 Ag 0.0000 0.0000 0.0000  8 I 3.31

Calculated values
M_tot = 0.00 μB/atom

---

#Q
Computed, not measured: a geometry-optimized AgH2I2 structure at the PBE-GGA level of DFT.

a = 7.8345 Å, b = 7.8345 Å, c = 4.0086 Å
α = 90.00°, β = 90.00°, γ = 90.00°
Closest atoms and distances in Å follow each position.
Atoms (fractional coordinates):
1 I 0.2961 0.7961 0.5000  2 H 2.00
2 I 0.7961 0.7039 0.5000  2 H 2.00
3 I 0.7039 0.2039 0.5000  2 H 2.00
4 I 0.2039 0.2961 0.5000  2 H 2.00
5 H 0.2977 0.7977 0.0000  2 I 2.00
6 H 0.7977 0.7023 0.0000  2 I 2.00
7 H 0.7023 0.2023 0.0000  2 I 2.00
8 H 0.2023 0.2977 0.0000  2 I 2.00
9 Ag 0.0000 0.0000 0.0000  4 H 2.82
10 Ag 0.5000 0.5000 0.0000  4 H 2.82

Calculated values
M_tot = 0.00 μB/atom

---

Going by the energies, #Q is most stable and the next is 178 meV per atom up.

---

#P
Computed, not measured: a geometry-optimized AgH2I2 structure at the PBE-GGA level of DFT.

a = 4.3278 Å, b = 4.0659 Å, c = 9.7561 Å
α = 100.03°, β = 90.00°, γ = 122.15°
Closest atoms and distances in Å follow each position.
Atoms (fractional coordinates):
1 Ag 0.0000 0.0000 0.0000  6 I 2.79-3.05
2 H 0.5238 0.0477 0.4686  1 H 0.75
3 H 0.4762 0.9523 0.5314  1 H 0.75
4 I 0.2636 0.5273 0.8181  3 Ag 2.79-3.05
5 I 0.7364 0.4727 0.1819  3 Ag 2.79-3.05

Calculated values
M_tot = 0.00 μB/atom

---

#Q
Computed, not measured: a geometry-optimized AgH2I2 structure at the PBE-GGA level of DFT.

a = 5.7664 Å, b = 5.7664 Å, c = 5.2196 Å
α = 56.47°, β = 56.47°, γ = 90.00°
Closest atoms and distances in Å follow each position.
Atoms (fractional coordinates):
1 I 0.7500 0.2500 0.5000  8 H 3.14-3.51, 2 I 3.26, 4 Ag 3.31
2 I 0.2500 0.7500 0.5000  8 H 3.14-3.51, 2 I 3.26, 4 Ag 3.31
3 H 0.4423 0.4423 0.1154  1 H 0.75
4 H 0.5577 0.5577 0.8846  1 H 0.75
5 Ag 0.0000 0.0000 0.0000  2 H 2.88

Calculated values
M_tot = 0.00 μB/atom

---

Going by the energies, #P is most stable and the next is 120 meV per atom up.

---

#P
Computed, not measured: a geometry-optimized AgHI2 structure at the PBE-GGA level of DFT.

a = 6.1448 Å, b = 6.1448 Å, c = 7.2225 Å
α = 64.82°, β = 64.82°, γ = 90.00°
Closest atoms and distances in Å follow each position.
Atoms (fractional coordinates):
1 I 0.5642 0.1250 0.2500  2 H 2.41
2 I 0.1858 0.6250 0.2500  2 H 2.41
3 I 0.3750 0.4358 0.7500  2 H 2.41
4 I 0.8750 0.8142 0.7500  2 H 2.41
5 H 0.5000 0.5000 0.0000  4 I 2.41
6 H 0.2500 0.7500 0.5000  4 I 2.41
7 Ag 0.0000 0.0000 0.0000  4 I 2.84
8 Ag 0.7500 0.2500 0.5000  4 I 2.84

Calculated values
M_tot = 0.00 μB/atom

---

#Q
Computed, not measured: a geometry-optimized AgHI2 structure at the PBE-GGA level of DFT.

a = 5.2402 Å, b = 5.2402 Å, c = 5.2402 Å
α = 60.00°, β = 60.00°, γ = 60.00°
Closest atoms and distances in Å follow each position.
Atoms (fractional coordinates):
1 I 0.2500 0.2500 0.2500  4 Ag 3.21, 4 H 3.21
2 I 0.7500 0.7500 0.7500  4 Ag 3.21, 4 H 3.21
3 H 0.0000 0.0000 0.0000  8 I 3.21
4 Ag 0.5000 0.5000 0.5000  8 I 3.21

Calculated values
M_tot = 0.29 μB/atom

---

Going by the energies, #P is most stable and the next is 481 meV per atom up.